1.
The following is a SCAN calculation of BaSr2Al2 at its PBEsol-relaxed geometry, from Alexandria.

Unit cell a=8.5385 b=8.5385 c=4.9871 alpha=90.00 beta=90.00 gamma=90.00
Space group P4/mbm (No. 127)
One atom of each set of equivalent atoms:
Ba  0.0000  0.0000  0.0000 (multiplicity 2)
Sr  0.1696  0.3304  0.5000 (multiplicity 4)
Al  0.1081  0.6081  0.0000 (multiplicity 4)

Results
The energy above the most stable polymorph in this dataset comes out at 0 meV/atom.

***

2.
The following is a SCAN calculation of BaTaAl3 at its PBEsol-relaxed geometry, from Alexandria.

Unit cell a=5.2783 b=5.2783 c=5.2783 alpha=90.00 beta=90.00 gamma=90.00
Space group Pm-3m (No. 221)
One atom of each set of equivalent atoms:
Ba  0.0000  0.0000  0.0000 (multiplicity 1)
Ta  0.5000  0.5000  0.5000 (multiplicity 1)
Al  0.0000  0.0000  0.5000 (multiplicity 3)

Results
The energy above the most stable polymorph in this dataset comes out at 2314 meV/atom.

***

3.
The following is a SCAN calculation of Ba2TaAl at its PBEsol-relaxed geometry, from Alexandria.

Unit cell a=4.5762 b=4.5762 c=5.2767 alpha=90.00 beta=90.00 gamma=90.00
Space group P4/mmm (No. 123)
One atom of each set of equivalent atoms:
Ba  0.0000  0.5000  0.0000 (multiplicity 2)
Ta  0.0000  0.0000  0.5000 (multiplicity 1)
Al  0.5000  0.5000  0.5000 (multiplicity 1)

Results
The value obtained for the total energy is -149.7 eV per cell.

***

4.
The following is a SCAN calculation of BaTaAl3 at its PBEsol-relaxed geometry, from Alexandria.

Unit cell a=5.1205 b=5.1205 c=5.1205 alpha=90.00 beta=90.00 gamma=90.00
Space group Pm-3m (No. 221)
One atom of each set of equivalent atoms:
Ba  0.0000  0.0000  0.0000 (multiplicity 1)
Ta  0.5000  0.5000  0.5000 (multiplicity 1)
Al  0.0000  0.5000  0.5000 (multiplicity 3)

Results
The energy above the most stable polymorph in this dataset comes out at 0 meV/atom.

***

5.
The following is a SCAN calculation of BaTaAl2 at its PBEsol-relaxed geometry, from Alexandria.

Unit cell a=3.0449 b=3.9899 c=7.4275 alpha=90.00 beta=90.00 gamma=90.00
Space group Pmmm (No. 47)
One atom of each set of equivalent atoms:
Ba  0.0000  0.0000  0.0000 (multiplicity 1)
Ta  0.0000  0.0000  0.5000 (multiplicity 1)
Al  0.5000  0.5000  0.3227 (multiplicity 2)

Results
The energy above the most stable polymorph in this dataset comes out at 0 meV/atom.

***

6.
The following is a SCAN calculation of BaTaAl2 at its PBEsol-relaxed geometry, from Alexandria.

Unit cell a=3.1540 b=3.1540 c=8.8480 alpha=90.00 beta=90.00 gamma=90.00
Space group P4mm (No. 99)
One atom of each set of equivalent atoms:
Ba  0.0000  0.0000  0.0000 (multiplicity 1)
Ta  0.5000  0.5000  0.3351 (multiplicity 1)
Al  0.0000  0.0000  0.5187 (multiplicity 1)
Al  0.5000  0.5000  0.7014 (multiplicity 1)

Results
The energy above the most stable polymorph in this dataset comes out at 283 meV/atom.

***

7.
The following is a SCAN calculation of BaAl2Tc at its PBEsol-relaxed geometry, from Alexandria.

Unit cell a=4.5053 b=4.5053 c=7.9572 alpha=90.00 beta=90.00 gamma=90.00
Space group I4/mmm (No. 139)
One atom of each set of equivalent atoms:
Ba  0.0000  0.0000  0.0000 (multiplicity 2)
Al  0.0000  0.5000  0.2500 (multiplicity 4)
Tc  0.0000  0.0000  0.5000 (multiplicity 2)

Results
The energy above the most stable polymorph in this dataset comes out at 739 meV/atom.

***

8.
The following is a SCAN calculation of BaAl2Tc at its PBEsol-relaxed geometry, from Alexandria.

Unit cell a=7.6225 b=4.3926 c=6.4464 alpha=90.00 beta=113.25 gamma=90.00
Space group Cm (No. 8)
One atom of each set of equivalent atoms:
Ba  0.0000  0.0000  0.0000 (multiplicity 2)
Al  0.0166  0.5000  0.5484 (multiplicity 2)
Al  0.3151  0.5000  0.4438 (multiplicity 2)
Tc  0.1892  0.0000  0.5657 (multiplicity 2)

Results
The energy above the most stable polymorph in this dataset comes out at 109 meV/atom.